--- w ---
A relaxed Tb2Ho3Er3 crystal. Source: Alexandria, functional PBE.

Output
DOS(E_F) in states/eV per cell: 22.193

Unit cell a=23.5992 b=3.5315 c=6.1184 alpha=90.00 beta=105.02 gamma=90.00
Last column: nearest neighbours and their distance in Å.
Space group C2/m (No. 12)
One atom of each set of equivalent atoms:
Tb  0.2500  0.0000  0.2500 x4  3 Er 3.51, 3 Ho 3.51, 6 Tb 3.53
Ho  0.0000  0.0000  0.0000 x2  4 Ho 3.49-3.53, 8 Er 3.49-3.53
Ho  0.1245  0.0000  0.4577 x4  6 Er 3.49-3.53, 3 Ho 3.49-3.53, 3 Tb 3.51
Er  0.0000  0.5000  0.5000 x2  8 Ho 3.49-3.53, 4 Er 3.49-3.53
Er  0.1245  0.5000  0.9576 x4  3 Er 3.49-3.53, 6 Ho 3.49-3.53, 3 Tb 3.51

--- x ---
A relaxed Tb2Ho3Er3 crystal. Source: Alexandria, functional PBE.

Output
DOS(E_F) in states/eV per cell: 21.801

Unit cell a=4.9757 b=4.9760 c=19.9025 alpha=90.00 beta=90.00 gamma=90.00
Last column: nearest neighbours and their distance in Å.
Space group Immm (No. 71)
One atom of each set of equivalent atoms:
Tb  0.0000  0.0000  0.2499 x4  4 Tb 3.52, 4 Er 3.52-3.53, 4 Ho 3.53
Ho  0.0000  0.0000  0.0000 x2  4 Ho 3.51, 8 Er 3.51-3.52
Ho  0.0000  0.5000  0.1243 x4  6 Er 3.51-3.52, 2 Ho 3.51, 4 Tb 3.53
Er  0.0000  0.0000  0.5000 x2  8 Ho 3.51-3.52, 4 Er 3.51
Er  0.0000  0.5000  0.3755 x4  6 Ho 3.51-3.52, 2 Er 3.51, 4 Tb 3.52-3.53

We find w to be the most stable, with the next structure 18 meV per atom higher.